Crystalline K3CoF8 at its relaxed geometry. Source: Alexandria, functional PBE with a Hubbard U.

a = 8.0230 Å, b = 8.0230 Å, c = 6.9239 Å
α = 90.00°, β = 90.00°, γ = 120.00°
Space group P6_3mc (No. 186)
Inequivalent atoms, fractional coordinates:
K  0.1572  0.3144  0.0000 [6 per cell]
Co  0.3333  0.6667  0.4444 [2 per cell]
F  0.0000  0.0000  0.2574 [2 per cell]
F  0.1209  0.5604  0.2952 [6 per cell]
F  0.2245  0.4489  0.5878 [6 per cell]
F  0.3333  0.6667  0.9271 [2 per cell]

* energy: -4.05 eV per atom